The following is a DFT calculation (PBE-GGA) of a relaxed structure of Cs4CeTh3S8.

Summary:
For the total energy, the calculation gives -91.43 eV per formula unit. Its raw formation energy is -1.675 eV/atom.

a b c (Å): 8.382 9.480 8.384
angles (deg): 116.26 119.99 90.00
Last column: magnetic moment on the atom in μB.
Atoms (fractional coordinates):
1 Cs 0.500 0.000 0.000  0.00
2 Cs 0.500 0.000 0.500  0.00
3 Cs 0.000 0.000 0.000  0.00
4 Cs 0.000 0.000 0.500  0.00
5 Ce 0.000 0.500 0.000  1.02
6 Th 0.500 0.500 0.000  0.11
7 Th 0.500 0.500 0.500  0.11
8 Th 0.000 0.500 0.500  0.11
9 S 0.232 0.689 0.957  -0.01
10 S 0.232 0.689 0.464  -0.01
11 S 0.270 0.311 0.541  0.00
12 S 0.724 0.689 0.957  -0.01
13 S 0.276 0.311 0.043  -0.01
14 S 0.730 0.689 0.459  0.00
15 S 0.768 0.311 0.536  -0.01
16 S 0.768 0.311 0.043  -0.01